3
Lattice="-1.505 2.208 5.149 1.505 -2.208 5.149 1.505 2.208 -5.149" Properties=species:S:1:pos:R:3 comment="LaMgW (PBE, relaxed)" energy_ev_per_atom=-5.841 magmom_total_mub_per_cell=0.00 e_above_lowest_polymorph_ev_per_fu=0.321 formation_enthalpy_0k_ev_per_atom=0.650 volume_a3_per_cell=68.43 pbc="T T T"
La 0.000 0.000 0.000
Mg 0.000 0.000 7.185
W 0.000 0.000 3.303